Entry 1:
Pu2BrN | PBE | optimized geometry

Cell lengths 3.220, 3.220, 7.449 Å; angles 90.00, 90.00, 90.00 degrees
Site moments in Bohr magnetons follow the coordinates.
Fractional coordinates of all 4 atoms:
N 0.500 0.500 0.000  -0.21
Br 0.500 0.500 0.500  -0.02
Pu 0.000 0.000 0.809  5.82
Pu 0.000 0.000 0.191  5.82

Summary:
Formation energy from raw total energies: -0.651 eV/atom
D(E_F): 2.365 states/eV per atom

Entry 2:
Pu2SBr2N | PBE | optimized geometry

Cell lengths 3.890, 7.016, 11.459 Å; angles 90.00, 90.00, 90.00 degrees
Site moments in Bohr magnetons follow the coordinates.
Fractional coordinates of all 12 atoms:
Pu 0.000 0.247 0.708  4.59
Pu 0.500 0.347 0.438  4.87
Pu 0.000 0.747 0.292  4.59
Pu 0.500 0.847 0.562  4.87
S 0.000 0.043 0.441  -0.16
S 0.000 0.543 0.559  -0.16
Br 0.500 0.867 0.120  -0.08
Br 0.000 0.358 0.228  -0.06
Br 0.500 0.367 0.880  -0.08
Br 0.000 0.858 0.772  -0.06
N 0.500 0.183 0.618  -0.31
N 0.500 0.683 0.382  -0.31

Summary:
Formation energy from raw total energies: -1.493 eV/atom
D(E_F): 2.126 states/eV per atom

Entry 3:
Rb2Br3N | PBE | optimized geometry

Cell lengths 4.989, 11.431, 12.075 Å; angles 116.12, 90.00, 102.60 degrees
Site moments in Bohr magnetons follow the coordinates.
Fractional coordinates of all 12 atoms:
Rb 0.494 0.988 0.691  0.01
Rb 0.506 0.012 0.309  0.01
Rb 0.192 0.385 0.807  0.00
Rb 0.808 0.615 0.193  0.00
Br 0.644 0.288 0.966  0.02
Br 0.901 0.802 0.872  0.30
Br 0.382 0.764 0.395  -0.04
Br 0.618 0.236 0.605  -0.04
Br 0.099 0.198 0.128  0.30
Br 0.356 0.712 0.034  0.02
N 0.941 0.883 0.776  1.01
N 0.059 0.117 0.224  1.01

Summary:
Formation energy from raw total energies: -0.506 eV/atom

Entry 4:
Rb3BrN4 | PBE | optimized geometry

Cell lengths 3.989, 5.306, 10.425 Å; angles 75.23, 78.98, 90.00 degrees
Site moments in Bohr magnetons follow the coordinates.
Fractional coordinates of all 8 atoms:
Br 0.000 0.000 0.000  0.00
Rb 0.338 0.838 0.323  0.01
Rb 0.662 0.162 0.677  0.01
Rb 0.500 0.500 0.000  0.00
N 0.863 0.363 0.273  0.11
N 0.137 0.637 0.727  0.11
N 0.804 0.303 0.393  0.09
N 0.196 0.697 0.607  0.09

Summary:
Formation energy from raw total energies: -0.466 eV/atom
D(E_F): 0.559 states/eV per atom

Entry 5:
Rb7BrN12 | PBE | optimized geometry

Cell lengths 8.831, 8.831, 8.831 Å; angles 112.94, 112.94, 112.94 degrees
Site moments in Bohr magnetons follow the coordinates.
Fractional coordinates of all 20 atoms:
Rb 0.357 0.918 0.217  0.02
Rb 0.783 0.643 0.082  0.02
Rb 0.082 0.783 0.643  0.02
Rb 0.500 0.500 0.500  0.02
Rb 0.918 0.217 0.357  0.02
Rb 0.217 0.357 0.918  0.02
Rb 0.643 0.082 0.783  0.02
Br 0.000 0.000 0.000  0.01
N 0.658 0.373 0.231  0.25
N 0.769 0.342 0.627  0.25
N 0.945 0.497 0.787  0.27
N 0.213 0.055 0.503  0.27
N 0.627 0.769 0.342  0.25
N 0.503 0.213 0.055  0.27
N 0.497 0.787 0.945  0.27
N 0.373 0.231 0.658  0.25
N 0.787 0.945 0.497  0.27
N 0.055 0.503 0.213  0.27
N 0.231 0.658 0.373  0.25
N 0.342 0.627 0.769  0.25

Summary:
Formation energy from raw total energies: -0.232 eV/atom
D(E_F): 0.422 states/eV per atom

Entry 6:
Rb2BrN2 | PBE | optimized geometry

Cell lengths 4.741, 4.755, 8.397 Å; angles 76.94, 73.60, 60.10 degrees
Site moments in Bohr magnetons follow the coordinates.
Fractional coordinates of all 5 atoms:
Rb 0.231 0.275 0.262  0.01
Rb 0.769 0.725 0.738  0.01
Br 0.000 0.000 0.000  0.00
N 0.544 0.371 0.540  0.25
N 0.456 0.629 0.460  0.25

Summary:
Formation energy from raw total energies: -0.757 eV/atom
D(E_F): 0.440 states/eV per atom
Polymorph energy (0 for the lowest one): 0.000 eV per atom

Entry 7:
Rb2BrN2 | PBE | optimized geometry

Cell lengths 8.318, 8.318, 3.969 Å; angles 90.00, 90.00, 90.00 degrees
Site moments in Bohr magnetons follow the coordinates.
Fractional coordinates of all 10 atoms:
Br 0.000 0.000 0.000  0.00
Br 0.500 0.500 0.000  0.00
Rb 0.225 0.725 0.500  0.01
Rb 0.725 0.775 0.500  0.01
Rb 0.775 0.275 0.500  0.01
Rb 0.275 0.225 0.500  0.01
N 0.450 0.950 0.000  0.25
N 0.950 0.550 0.000  0.26
N 0.550 0.050 0.000  0.25
N 0.050 0.450 0.000  0.26

Summary:
Formation energy from raw total energies: -0.694 eV/atom
D(E_F): 0.616 states/eV per atom
Polymorph energy (0 for the lowest one): 0.063 eV per atom

Entry 8:
Rb3Br6N | PBE | optimized geometry

Cell lengths 7.956, 7.956, 7.956 Å; angles 60.00, 60.00, 90.00 degrees
Fractional coordinates of all 10 atoms:
Br 0.287 0.287 0.427
Br 0.713 0.713 0.573
Br 0.287 0.287 0.000
Br 0.713 0.713 0.000
Br 0.713 0.287 0.000
Br 0.287 0.713 0.000
Rb 0.750 0.250 0.500
Rb 0.250 0.750 0.500
Rb 0.000 0.000 0.000
N 0.500 0.500 0.000

Summary:
Formation energy from raw total energies: -0.518 eV/atom
D(E_F): 0.000 states/eV per atom

Q: What is the formation energy from raw total energies in the first record?
A: -0.651 eV/atom

Repeat the seventh record exactly.
Rb2BrN2 | PBE | optimized geometry

Cell lengths 8.318, 8.318, 3.969 Å; angles 90.00, 90.00, 90.00 degrees
Site moments in Bohr magnetons follow the coordinates.
Fractional coordinates of all 10 atoms:
Br 0.000 0.000 0.000  0.00
Br 0.500 0.500 0.000  0.00
Rb 0.225 0.725 0.500  0.01
Rb 0.725 0.775 0.500  0.01
Rb 0.775 0.275 0.500  0.01
Rb 0.275 0.225 0.500  0.01
N 0.450 0.950 0.000  0.25
N 0.950 0.550 0.000  0.26
N 0.550 0.050 0.000  0.25
N 0.050 0.450 0.000  0.26

Summary:
Formation energy from raw total energies: -0.694 eV/atom
D(E_F): 0.616 states/eV per atom
Polymorph energy (0 for the lowest one): 0.063 eV per atom

What did the fourth record say?
Rb3BrN4 | PBE | optimized geometry

Cell lengths 3.989, 5.306, 10.425 Å; angles 75.23, 78.98, 90.00 degrees
Site moments in Bohr magnetons follow the coordinates.
Fractional coordinates of all 8 atoms:
Br 0.000 0.000 0.000  0.00
Rb 0.338 0.838 0.323  0.01
Rb 0.662 0.162 0.677  0.01
Rb 0.500 0.500 0.000  0.00
N 0.863 0.363 0.273  0.11
N 0.137 0.637 0.727  0.11
N 0.804 0.303 0.393  0.09
N 0.196 0.697 0.607  0.09

Summary:
Formation energy from raw total energies: -0.466 eV/atom
D(E_F): 0.559 states/eV per atom